No. 1
DFT (PBEsol) results for a relaxed Ba3In2H12O12 crystal.

```
Ba3In2H12O12
1.0
-7.021 7.021 7.021
7.021 -7.021 7.021
7.021 7.021 -7.021
Ba In H O
12 8 48 48
direct
0.125 0.250 0.375
0.125 0.375 0.750
0.250 0.375 0.125
0.250 0.875 0.625
0.375 0.125 0.250
0.375 0.750 0.125
0.625 0.250 0.875
0.625 0.875 0.750
0.750 0.125 0.375
0.750 0.625 0.875
0.875 0.625 0.250
0.875 0.750 0.625
0.000 0.000 0.000
0.000 0.000 0.500
0.000 0.500 0.000
0.000 0.500 0.500
0.500 0.000 0.000
0.500 0.000 0.500
0.500 0.500 0.000
0.500 0.500 0.500
0.054 0.753 0.112
0.054 0.802 0.942
0.058 0.612 0.860
0.058 0.946 0.198
0.112 0.054 0.753
0.112 0.558 0.360
0.140 0.698 0.753
0.140 0.942 0.388
0.198 0.058 0.946
0.198 0.640 0.253
0.247 0.860 0.302
0.247 0.888 0.946
0.253 0.198 0.640
0.253 0.554 0.612
0.302 0.247 0.860
0.302 0.554 0.442
0.360 0.112 0.558
0.360 0.747 0.802
0.388 0.140 0.942
0.388 0.747 0.446
0.442 0.302 0.554
0.442 0.640 0.888
0.446 0.388 0.747
0.446 0.558 0.698
0.554 0.442 0.302
0.554 0.612 0.253
0.558 0.360 0.112
0.558 0.698 0.446
0.612 0.253 0.554
0.612 0.860 0.058
0.640 0.253 0.198
0.640 0.888 0.442
0.698 0.446 0.558
0.698 0.753 0.140
0.747 0.446 0.388
0.747 0.802 0.360
0.753 0.112 0.054
0.753 0.140 0.698
0.802 0.360 0.747
0.802 0.942 0.054
0.860 0.058 0.612
0.860 0.302 0.247
0.888 0.442 0.640
0.888 0.946 0.247
0.942 0.054 0.802
0.942 0.388 0.140
0.946 0.198 0.058
0.946 0.247 0.888
0.024 0.196 0.113
0.024 0.328 0.911
0.083 0.696 0.672
0.083 0.887 0.411
0.089 0.613 0.417
0.089 0.976 0.672
0.113 0.024 0.196
0.113 0.589 0.917
0.172 0.196 0.583
0.172 0.476 0.589
0.196 0.113 0.024
0.196 0.583 0.172
0.304 0.328 0.917
0.304 0.476 0.387
0.328 0.911 0.024
0.328 0.917 0.304
0.387 0.304 0.476
0.387 0.583 0.911
0.411 0.083 0.887
0.411 0.828 0.524
0.417 0.089 0.613
0.417 0.828 0.804
0.476 0.387 0.304
0.476 0.589 0.172
0.524 0.411 0.828
0.524 0.613 0.696
0.583 0.172 0.196
0.583 0.911 0.387
0.589 0.172 0.476
0.589 0.917 0.113
0.613 0.417 0.089
0.613 0.696 0.524
0.672 0.083 0.696
0.672 0.089 0.976
0.696 0.524 0.613
0.696 0.672 0.083
0.804 0.417 0.828
0.804 0.887 0.976
0.828 0.524 0.411
0.828 0.804 0.417
0.887 0.411 0.083
0.887 0.976 0.804
0.911 0.024 0.328
0.911 0.387 0.583
0.917 0.113 0.589
0.917 0.304 0.328
0.976 0.672 0.089
0.976 0.804 0.887
```

Values from the calculation:
- Raw total energy: -5.50 eV per atom
- Magnetic moment: 0.000 μB per cell
- D(E_F): 0.000 states/eV per atom
- Space group: Ia-3d (230)



No. 2
DFT (PBEsol) results for a relaxed BaIn2HRh crystal.

```
BaIn2HRh
1.0
5.908 0.000 0.000
0.000 5.908 0.000
0.000 0.000 3.938
Ba In H Rh
1 2 1 1
direct
0.000 0.000 0.000
0.000 0.500 0.000
0.500 0.000 0.000
0.000 0.000 0.500
0.500 0.500 0.500
```

Values from the calculation:
- Raw total energy: -2.64 eV per atom
- Magnetic moment: 0.383 μB per cell
- D(E_F): 0.958 states/eV per atom
- Space group: P4/mmm (123)



What is the D(E_F) in the first record? 0.000 states/eV per atom



The highest D(E_F) belongs to which entry? BaIn2HRh



What did the second record say?
DFT (PBEsol) results for a relaxed BaIn2HRh crystal.

```
BaIn2HRh
1.0
5.908 0.000 0.000
0.000 5.908 0.000
0.000 0.000 3.938
Ba In H Rh
1 2 1 1
direct
0.000 0.000 0.000
0.000 0.500 0.000
0.500 0.000 0.000
0.000 0.000 0.500
0.500 0.500 0.500
```

Values from the calculation:
- Raw total energy: -2.64 eV per atom
- Magnetic moment: 0.383 μB per cell
- D(E_F): 0.958 states/eV per atom
- Space group: P4/mmm (123)